[1]
Cs2CuWBr6 | PBE | optimized geometry

Structure (extended XYZ):
```
10
Lattice="-7.4908 -1.0335 -0.6994 0.3509 -5.8291 4.8547 -4.4216 -0.0488 6.2006" Properties=species:S:1:pos:R:3 pbc="T T T"
Br -1.5763 -4.6505 3.4896
Br -4.0058 -1.7002 4.1877
Br -5.3851 -5.1760 3.1340
Br -7.5557 -5.2112 6.1681
Br -1.7548 -1.6866 1.0212
Br -5.5636 -2.2121 0.6656
W 0.0000 0.0000 0.0000
Cu -3.5699 -3.4313 2.0776
Cs -3.8203 -4.6546 6.5664
Cs -7.7412 -2.2568 3.7894
```

Calculated values
Energy: -36.99 eV per cell
Energy relative to the elements, uncorrected: -0.820 eV per atom
N(E_F): 0.00 states/eV/atom

[2]
CsYCuBr6 | PBE | optimized geometry

Structure (extended XYZ):
```
9
Lattice="7.0304 0.4798 -0.1498 3.9234 6.6233 -0.4994 -0.1607 -0.5530 8.0202" Properties=species:S:1:pos:R:3 pbc="T T T"
Br 1.8208 2.2472 2.2296
Br 5.6338 2.5855 5.0279
Br 5.3548 4.2250 1.4008
Br 8.4722 6.6765 2.2732
Br 2.4815 -0.1369 5.7482
Br 2.2322 3.4849 5.4524
Y 7.0910 4.4691 3.4631
Cu 3.4354 1.8306 4.0819
Cs 6.4886 0.2661 7.8258
```

Calculated values
Energy: -33.40 eV per cell
Energy relative to the elements, uncorrected: -1.328 eV per atom
N(E_F): 0.02 states/eV/atom

[3]
Cs2YCuBr6 | PBE | optimized geometry

Structure (extended XYZ):
```
10
Lattice="7.8411 0.0000 0.0000 3.9205 6.7906 0.0000 3.9205 2.2635 6.4022" Properties=species:S:1:pos:R:3 pbc="T T T"
Br 7.8411 2.2287 1.5760
Br 7.8411 6.8253 4.8262
Br 5.8507 5.6762 1.5760
Br 5.8507 3.3779 4.8262
Br 9.8314 5.6762 1.5760
Br 9.8314 3.3779 4.8262
Cs 11.7616 6.7906 4.8016
Cs 3.9205 2.2635 1.6005
Y 7.8411 4.5270 3.2011
Cu 0.0000 0.0000 0.0000
```

Calculated values
Energy: -37.44 eV per cell
Energy relative to the elements, uncorrected: -1.514 eV per atom
N(E_F): 0.00 states/eV/atom

[4]
Cs2YCu2Br6 | PBE | optimized geometry

Structure (extended XYZ):
```
11
Lattice="-3.5412 2.1014 -6.6909 7.4034 -2.7121 -0.1575 -6.4907 -5.7670 1.6240" Properties=species:S:1:pos:R:3 pbc="T T T"
Br -3.2032 -3.4213 -3.9918
Br -5.4065 -3.9886 -0.7405
Br 2.7780 -2.3890 -4.4839
Br 4.5156 -3.4202 -1.2007
Br 0.5746 -2.9564 -1.2326
Br -7.1441 -2.9575 -4.0237
Cs -0.6568 -0.8442 -4.5301
Cs -1.9718 -5.5335 -0.6944
Y -5.0160 -1.8328 -2.5334
Cu -0.5835 -1.0536 -0.0221
Cu -2.0450 -5.3240 -5.2023
```

Calculated values
Energy: -39.67 eV per cell
Energy relative to the elements, uncorrected: -1.207 eV per atom
N(E_F): 0.21 states/eV/atom

[5]
Cs2ZnCuBr6 | PBE | optimized geometry

Structure (extended XYZ):
```
10
Lattice="-0.4881 -7.5828 -1.5378 5.6898 0.6924 -5.2200 6.4223 -4.5074 0.6456" Properties=species:S:1:pos:R:3 pbc="T T T"
Cu 2.6009 -3.4452 -3.3789
Br 3.9863 -1.5895 -4.2047
Br 1.2154 -5.3009 -2.5532
Br 4.8464 -4.0694 -1.0140
Br 6.7776 -7.3284 -5.0982
Br 1.4344 -1.9000 -1.8635
Br 3.7674 -4.9904 -4.8944
Cs 7.3565 -3.6301 -3.9767
Cs 4.2675 -7.7677 -2.1356
Zn 0.0000 0.0000 0.0000
```

Calculated values
Energy: -27.52 eV per cell
Energy relative to the elements, uncorrected: -1.041 eV per atom
N(E_F): 0.00 states/eV/atom

[6]
CsZrCuBr6 | PBE | optimized geometry

Structure (extended XYZ):
```
9
Lattice="-3.1202 2.9912 5.8758 -7.0958 -0.2830 1.6661 1.7651 -6.4232 4.6971" Properties=species:S:1:pos:R:3 pbc="T T T"
Br -3.0737 -4.8615 4.9110
Br -2.9621 -2.3007 7.5669
Br -5.1023 -1.5174 4.3862
Br -1.8611 0.2141 4.7319
Br -7.0885 -3.1505 7.1277
Br -5.4047 0.5074 8.0952
Zr -2.5915 -2.2907 4.9132
Cs 1.1915 -6.2709 5.1207
Cu -5.1458 -1.6129 6.7987
```

Calculated values
Energy: -34.67 eV per cell
Energy relative to the elements, uncorrected: -1.238 eV per atom
N(E_F): 0.00 states/eV/atom

[7]
Cs2ZrCuBr6 | PBE | optimized geometry

Structure (extended XYZ):
```
10
Lattice="-3.9724 3.7475 -5.4508 -6.5955 -1.7597 3.5968 -4.9261 5.6186 1.9918" Properties=species:S:1:pos:R:3 pbc="T T T"
Zr 0.0000 0.0000 0.0000
Cs -7.0912 5.1800 -2.1930
Cs -8.4028 2.4264 2.3308
Cu -5.2839 0.9939 -0.9270
Br -5.1047 3.3112 0.5355
Br -7.9181 1.4894 -1.3891
Br -2.6498 0.4984 -0.4649
Br -4.6301 2.3667 -3.1822
Br -5.9378 -0.3789 1.3282
Br -10.3894 4.2952 -0.3977
```

Calculated values
Energy: -36.81 eV per cell
Energy relative to the elements, uncorrected: -1.242 eV per atom
N(E_F): 0.95 states/eV/atom

[8]
CsDyBr3 | PBE | optimized geometry

Structure (extended XYZ):
```
5
Lattice="-0.6987 5.6236 0.0350 -3.1250 -0.3589 -4.7138 -4.6755 -0.6005 3.1453" Properties=species:S:1:pos:R:3 pbc="T T T"
Cs -4.2496 2.3321 -0.7667
Br -0.3494 2.8118 0.0175
Br -2.3378 -0.3003 1.5727
Br -1.5625 -0.1795 -2.3569
Dy 0.0000 0.0000 0.0000
```

Calculated values
Energy: -18.49 eV per cell
Energy relative to the elements, uncorrected: -1.604 eV per atom
N(E_F): 0.64 states/eV/atom

[9]
Cs3Dy2Br8 | PBE | optimized geometry

Structure (extended XYZ):
```
13
Lattice="8.1081 0.0000 3.0632 3.4754 7.3255 3.0632 0.5983 0.3784 10.6788" Properties=species:S:1:pos:R:3 pbc="T T T"
Br 7.7843 2.1596 10.5285
Br 8.7670 5.5443 7.9274
Br 5.2878 6.1073 10.5285
Br 6.8941 1.5966 6.2767
Br 7.7188 4.8814 4.0937
Br 3.4149 2.1596 8.8777
Br 4.4631 2.8225 12.7115
Br 4.3975 5.5443 6.2767
Cs 0.0000 0.0000 0.0000
Cs 9.5343 6.0295 11.5506
Cs 2.6475 1.6743 5.2546
Dy 5.4122 3.4227 10.1991
Dy 6.7696 4.2811 6.6061
```

Calculated values
Energy: -47.32 eV per cell
Energy relative to the elements, uncorrected: -1.705 eV per atom

[10]
CsDyBr4 | PBE | optimized geometry

Structure (extended XYZ):
```
12
Lattice="-3.9723 3.5562 5.1998 -2.1976 -6.9163 3.0513 8.1071 3.1106 2.7342" Properties=species:S:1:pos:R:3 pbc="T T T"
Br 1.0946 2.6732 6.8476
Br -1.6357 -5.1478 2.2711
Br 4.4111 2.7287 4.9308
Br -1.5150 0.0397 4.7231
Br 3.4522 -0.2891 6.2622
Br -2.4739 -2.9781 6.0545
Br -0.5619 -1.7685 0.7802
Br 0.8426 -2.9226 4.1378
Cs 1.8819 0.7439 3.0415
Cs 0.0553 -0.9933 7.9438
Dy -1.7508 -2.4760 3.2822
Dy 3.6880 2.2266 7.7031
```

Calculated values
Energy: -46.06 eV per cell
Energy relative to the elements, uncorrected: -1.814 eV per atom
N(E_F): 0.00 states/eV/atom
Energy above the most stable polymorph in this dataset: 0.032 eV per atom

[11]
Cs2DyBr5 | PBE | optimized geometry

Structure (extended XYZ):
```
32
Lattice="7.9473 0.0000 0.0000 0.0000 10.2594 0.0000 0.0000 0.0000 16.2390" Properties=species:S:1:pos:R:3 pbc="T T T"
Br 0.0000 0.0000 0.0000
Br 3.9736 5.1297 8.1195
Br 3.9321 1.6313 9.9911
Br 5.9604 9.9774 12.9589
Br 7.9058 8.6281 6.2480
Br 0.0000 5.1297 8.1195
Br 4.0151 8.6281 6.2480
Br 0.0415 1.6313 9.9911
Br 5.9604 4.8477 11.3997
Br 0.0415 6.7610 14.3675
Br 7.9058 3.4984 1.8715
Br 1.9868 5.4117 4.8394
Br 1.9868 8.0511 9.7117
Br 1.9868 2.9214 14.6469
Br 1.9868 0.2820 3.2802
Br 3.9736 0.0000 0.0000
Br 4.0151 3.4984 1.8715
Br 5.9604 2.2083 6.5274
Br 3.9321 6.7610 14.3675
Br 5.9604 7.3380 1.5921
Dy 1.9868 1.8815 1.0224
Dy 5.9604 8.3779 15.2166
Dy 5.9604 3.2482 9.1419
Dy 1.9868 7.0112 7.0971
Cs 5.9604 5.4652 4.7681
Cs 5.9604 0.3355 3.3515
Cs 1.9868 4.7942 11.4710
Cs 1.9868 6.8841 1.3877
Cs 5.9604 3.3752 14.8513
Cs 5.9604 8.5049 9.5072
Cs 1.9868 1.7544 6.7318
Cs 1.9868 9.9239 12.8876
```

Calculated values
Energy: -119.09 eV per cell
Energy relative to the elements, uncorrected: -1.887 eV per atom
N(E_F): 0.00 states/eV/atom

[12]
Cs3DyBr8 | PBE | optimized geometry

Structure (extended XYZ):
```
12
Lattice="-1.7245 -0.5153 -7.9380 4.1943 -6.9605 -0.4594 -7.9832 -0.4432 5.9361" Properties=species:S:1:pos:R:3 pbc="T T T"
Br 1.5174 -6.4913 -1.6644
Br 0.5186 -6.7898 -6.2620
Br -1.9107 -2.7583 -5.9959
Br -4.6015 -5.4591 -1.0630
Br -7.0308 -1.4277 -0.7969
Br -6.0320 -1.1292 3.8007
Br -0.9119 -2.4599 -1.3983
Br -3.6027 -5.1607 3.5346
Dy 0.0000 0.0000 0.0000
Cs -1.2770 -5.5708 0.6390
Cs -4.2364 -2.3482 -3.1003
Cs 1.2349 -3.7379 -4.1987
```

Calculated values
Energy: -37.10 eV per cell
Energy relative to the elements, uncorrected: -1.380 eV per atom
N(E_F): 1.38 states/eV/atom